A relaxed structure of Pu3MnTl4S8. Source: the Alexandria database, functional PBE.

Cell: 7.9761 8.7819 7.9765 Å, 117.01 120.00 90.00°
Fractional coordinates of all 16 atoms:
S  0.2273  0.6914  0.4546
S  0.7727  0.3086  0.5454
S  0.7729  0.3088  0.0360
S  0.2680  0.3040  0.5361
S  0.2631  0.3088  0.0360
S  0.7320  0.6960  0.4639
S  0.7369  0.6912  0.9640
S  0.2271  0.6912  0.9640
Tl  0.5000  0.0000  0.0000
Tl  0.0000  0.0000  0.0000
Tl  0.0000  0.0000  0.5000
Tl  0.5000  0.0000  0.5000
Pu  0.5000  0.5000  0.5000
Pu  0.5000  0.5000  0.0000
Pu  0.0000  0.5000  0.5000
Mn  0.0000  0.5000  0.0000

Output
The electronic total energy is -6.9292 eV per atom. Its space group is R-3m (166). As for the magnetic moment: 8.98 μB per formula unit.

---

A relaxed structure of Pu2MnTlS4. Source: the Alexandria database, functional PBE.

Cell: 4.0293 7.1861 14.0020 Å, 90.00 90.00 106.28°
Fractional coordinates of all 16 atoms:
Mn  0.1718  0.3436  0.2500
Mn  0.8282  0.6564  0.7500
S  0.0000  0.0000  0.0000
S  0.4202  0.8405  0.7500
S  0.7404  0.4808  0.8909
S  0.5798  0.1595  0.2500
S  0.7404  0.4808  0.6091
S  0.2596  0.5192  0.1091
S  0.0000  0.0000  0.5000
S  0.2596  0.5192  0.3909
Pu  0.6314  0.2628  0.4450
Pu  0.3686  0.7372  0.5550
Pu  0.3686  0.7372  0.9450
Pu  0.6314  0.2628  0.0550
Tl  0.8974  0.7949  0.2500
Tl  0.1026  0.2051  0.7500

Output
The electronic total energy is -8.2470 eV per atom. Its space group is Cmcm (63). As for the magnetic moment: 14.85 μB per formula unit.

---

A relaxed structure of PuU2MnS6. Source: the Alexandria database, functional PBE.

Cell: 6.8027 6.8024 7.2243 Å, 61.91 61.91 60.00°
Fractional coordinates of all 10 atoms:
S  0.7084  0.1232  0.7567
S  0.9370  0.5950  0.2458
S  0.1233  0.4117  0.7567
S  0.5950  0.2222  0.2458
S  0.2222  0.9370  0.2458
S  0.4117  0.7084  0.7566
Pu  0.8162  0.8162  0.5515
U  0.0133  0.0133  0.9600
U  0.5157  0.5156  0.4530
Mn  0.3189  0.3189  0.0433

Output
The electronic total energy is -8.3005 eV per atom. Its space group is R3 (146). As for the magnetic moment: 15.06 μB per formula unit.

---

A relaxed structure of PuMnSb. Source: the Alexandria database, functional PBE.

Cell: 4.3686 4.5256 6.8025 Å, 90.00 108.69 90.00°
Fractional coordinates of all 6 atoms:
Mn  0.2534  0.2500  0.5072
Mn  0.7466  0.7500  0.4928
Pu  0.0893  0.7500  0.1783
Pu  0.9107  0.2500  0.8217
Sb  0.6218  0.2500  0.2435
Sb  0.3782  0.7500  0.7565

Output
The electronic total energy is -9.5343 eV per atom. Its space group is Cmcm (63). As for the magnetic moment: 2.17 μB per formula unit.

---

| no. | E_form (uncorrected) (eV/atom) | theoretical density (Mg/m³) |
| --- | --- | --- |
| 1 | -1.01 | 7.50 |
| 2 | -1.16 | 7.47 |
| 3 | -1.22 | 6.61 |
| 4 | -0.33 | 10.97 |